This record from Alexandria describes Pr3Y6Ho2Mg after structural relaxation. The functional is PBE.

The value obtained for the electronic total energy is -126.94 eV for the cell shown. The value obtained for the calculated formation energy is 39.1 kJ/mol of formula units.

The structure belongs to space group C2/m (No. 12); the cell edges are 6.2163, 10.7768 and 11.8007 Å and the angles 90.00°, 100.19° and 90.00°. The distinct sites, in fractional coordinates, are Pr at (0.0000, 0.0000, 0.0000), Pr at (0.0000, 0.3345, 0.0000), Y at (0.2462, 0.3341, 0.7435), Y at (0.2483, 0.0000, 0.7440), Ho at (0.0000, 0.1663, 0.5000) and Mg at (0.0000, 0.5000, 0.5000).